Version i
This record from the Alexandria database describes an optimized crystal structure of CuNi6Os. The functional is PBE-GGA.

Results
Crystal system: orthorhombic
Space-group type: Cmmm (65)
V, Å³/cell: 366
DOS(E_F), states/eV/f.u.: 12.0

a b c (Å): 6.190 6.190 10.114
angles (deg): 90.00 90.00 109.36
Fractional positions:
Cu  0.000  0.000  0.248
Cu  0.000  0.000  0.752
Cu  0.248  0.752  0.000
Cu  0.752  0.248  0.000
Ni  0.000  0.000  0.000
Ni  0.000  0.000  0.500
Ni  0.125  0.375  0.125
Ni  0.125  0.375  0.875
Ni  0.126  0.377  0.375
Ni  0.126  0.377  0.625
Ni  0.251  0.749  0.251
Ni  0.251  0.749  0.749
Ni  0.375  0.125  0.125
Ni  0.375  0.125  0.875
Ni  0.377  0.126  0.375
Ni  0.377  0.126  0.625
Ni  0.500  0.500  0.000
Ni  0.500  0.500  0.500
Ni  0.623  0.874  0.375
Ni  0.623  0.874  0.625
Ni  0.625  0.875  0.125
Ni  0.625  0.875  0.875
Ni  0.749  0.251  0.251
Ni  0.749  0.251  0.749
Ni  0.874  0.623  0.375
Ni  0.874  0.623  0.625
Ni  0.875  0.625  0.125
Ni  0.875  0.625  0.875
Os  0.249  0.751  0.500
Os  0.500  0.500  0.243
Os  0.500  0.500  0.757
Os  0.751  0.249  0.500

---

Version ii
This record from the Alexandria database describes an optimized crystal structure of CuNi6Os. The functional is PBE-GGA.

Results
Crystal system: tetragonal
Space-group type: P4/mmm (123)
V, Å³/cell: 91
DOS(E_F), states/eV/f.u.: 11.9

a b c (Å): 3.589 3.589 7.074
angles (deg): 90.00 90.00 90.00
Fractional positions:
Cu  0.000  0.000  0.000
Ni  0.000  0.500  0.250
Ni  0.000  0.500  0.750
Ni  0.500  0.000  0.250
Ni  0.500  0.000  0.750
Ni  0.500  0.500  0.000
Ni  0.500  0.500  0.500
Os  0.000  0.000  0.500

---

Result of the stability comparison: version ii is the most stable of them.

---

Version i
This record from the Alexandria database describes an optimized crystal structure of Cu3NiOs. The functional is PBE-GGA.

Results
Crystal system: cubic
Space-group type: Pm-3m (221)
V, Å³/cell: 97
DOS(E_F), states/eV/f.u.: 6.5

a b c (Å): 4.595 4.595 4.595
angles (deg): 90.00 90.00 90.00
Fractional positions:
Cu  0.000  0.000  0.500
Cu  0.000  0.500  0.000
Cu  0.500  0.000  0.000
Ni  0.500  0.500  0.500
Os  0.000  0.000  0.000

---

Version ii
This record from the Alexandria database describes an optimized crystal structure of Cu3NiOs. The functional is PBE-GGA.

Results
Crystal system: cubic
Space-group type: Pm-3m (221)
V, Å³/cell: 76
DOS(E_F), states/eV/f.u.: 10.8

a b c (Å): 4.234 4.234 4.234
angles (deg): 90.00 90.00 90.00
Fractional positions:
Cu  0.000  0.000  0.500
Cu  0.000  0.500  0.000
Cu  0.500  0.000  0.000
Ni  0.000  0.000  0.000
Os  0.500  0.500  0.500

---

Result of the stability comparison: version ii is the most stable of them.

---

Version i
This record from the Alexandria database describes an optimized crystal structure of CuNiOs3. The functional is PBE-GGA.

Results
Crystal system: cubic
Space-group type: Pm-3m (221)
V, Å³/cell: 86
DOS(E_F), states/eV/f.u.: 6.9

a b c (Å): 4.411 4.411 4.411
angles (deg): 90.00 90.00 90.00
Fractional positions:
Cu  0.000  0.000  0.000
Ni  0.500  0.500  0.500
Os  0.000  0.500  0.500
Os  0.500  0.000  0.500
Os  0.500  0.500  0.000

---

Version ii
This record from the Alexandria database describes an optimized crystal structure of CuNiOs3. The functional is PBE-GGA.

Results
Crystal system: cubic
Space-group type: Pm-3m (221)
V, Å³/cell: 85
DOS(E_F), states/eV/f.u.: 6.4

a b c (Å): 4.399 4.399 4.399
angles (deg): 90.00 90.00 90.00
Fractional positions:
Cu  0.000  0.000  0.000
Ni  0.500  0.500  0.500
Os  0.000  0.000  0.500
Os  0.000  0.500  0.000
Os  0.500  0.000  0.000

---

Result of the stability comparison: version i is the most stable of them.

---

Version i
This record from the Alexandria database describes an optimized crystal structure of Cu3NiP. The functional is PBE-GGA.

Results
Crystal system: cubic
Space-group type: Pm-3m (221)
V, Å³/cell: 76
DOS(E_F), states/eV/f.u.: 1.5

a b c (Å): 4.243 4.243 4.243
angles (deg): 90.00 90.00 90.00
Fractional positions:
Cu  0.000  0.000  0.500
Cu  0.000  0.500  0.000
Cu  0.500  0.000  0.000
Ni  0.500  0.500  0.500
P  0.000  0.000  0.000

---

Version ii
This record from the Alexandria database describes an optimized crystal structure of Cu3NiP. The functional is PBE-GGA.

Results
Crystal system: cubic
Space-group type: Pm-3m (221)
V, Å³/cell: 82
DOS(E_F), states/eV/f.u.: 5.9

a b c (Å): 4.339 4.339 4.339
angles (deg): 90.00 90.00 90.00
Fractional positions:
Cu  0.000  0.000  0.500
Cu  0.000  0.500  0.000
Cu  0.500  0.000  0.000
Ni  0.000  0.000  0.000
P  0.500  0.500  0.500

---

Result of the stability comparison: version i is the most stable of them.

---

Version i
This record from the Alexandria database describes an optimized crystal structure of CuNiPS2. The functional is PBE-GGA.

Results
Crystal system: tetragonal
Space-group type: P4/mmm (123)
V, Å³/cell: 89
DOS(E_F), states/eV/f.u.: 4.7

a b c (Å): 4.634 4.634 4.128
angles (deg): 90.00 90.00 90.00
Fractional positions:
Cu  0.000  0.000  0.000
Ni  0.500  0.500  0.500
P  0.500  0.500  0.000
S  0.000  0.500  0.500
S  0.500  0.000  0.500

---

Version ii
This record from the Alexandria database describes an optimized crystal structure of CuNiPS2. The functional is PBE-GGA.

Results
Crystal system: tetragonal
Space-group type: P4/mmm (123)
V, Å³/cell: 90
DOS(E_F), states/eV/f.u.: 4.6

a b c (Å): 4.565 4.565 4.340
angles (deg): 90.00 90.00 90.00
Fractional positions:
Cu  0.000  0.000  0.000
Ni  0.500  0.500  0.500
P  0.000  0.000  0.500
S  0.000  0.500  0.000
S  0.500  0.000  0.000

---

Result of the stability comparison: version i is the most stable of them.

---

Version i
This record from the Alexandria database describes an optimized crystal structure of PaCu2Ni. The functional is PBE-GGA.

Results
Crystal system: monoclinic
Space-group type: P2_1/m (11)
V, Å³/cell: 125
DOS(E_F), states/eV/f.u.: 3.2

a b c (Å): 4.037 6.924 4.906
angles (deg): 90.00 113.81 90.00
Fractional positions:
Pa  0.067  0.250  0.139
Pa  0.933  0.750  0.861
Cu  0.366  0.056  0.723
Cu  0.366  0.444  0.723
Cu  0.634  0.556  0.277
Cu  0.634  0.944  0.277
Ni  0.206  0.750  0.425
Ni  0.794  0.250  0.575

---

Version ii
This record from the Alexandria database describes an optimized crystal structure of PaCu2Ni. The functional is PBE-GGA.

Results
Crystal system: trigonal
Space-group type: R-3m (166)
V, Å³/cell: 65
DOS(E_F), states/eV/f.u.: 5.4

a b c (Å): 9.668 9.668 9.668
angles (deg): 16.71 16.71 16.71
Fractional positions:
Pa  0.000  0.000  0.000
Cu  0.100  0.100  0.100
Cu  0.900  0.900  0.900
Ni  0.500  0.500  0.500

---

Result of the stability comparison: version i is the most stable of them.

---

Version i
This record from the Alexandria database describes an optimized crystal structure of PaCuNi. The functional is PBE-GGA.

Results
Crystal system: tetragonal
Space-group type: I4mm (107)
V, Å³/cell: 49
DOS(E_F), states/eV/f.u.: 3.5

a b c (Å): 5.550 5.550 5.550
angles (deg): 147.69 147.69 46.34
Fractional positions:
Pa  0.000  0.000  0.000
Cu  0.700  0.700  0.000
Ni  0.325  0.325  0.000

---

Version ii
This record from the Alexandria database describes an optimized crystal structure of PaCuNi. The functional is PBE-GGA.

Results
Crystal system: hexagonal
Space-group type: P-6m2 (187)
V, Å³/cell: 50
DOS(E_F), states/eV/f.u.: 2.8

a b c (Å): 4.285 4.285 3.165
angles (deg): 90.00 90.00 120.00
Fractional positions:
Pa  0.000  0.000  0.000
Cu  0.667  0.333  0.500
Ni  0.333  0.667  0.500

---

Result of the stability comparison: version ii is the most stable of them.

---

Version i
This record from the Alexandria database describes an optimized crystal structure of PaCuNiRu. The functional is PBE-GGA.

Results
Crystal system: cubic
Space-group type: F-43m (216)
V, Å³/cell: 64
DOS(E_F), states/eV/f.u.: 3.6

a b c (Å): 4.497 4.497 4.497
angles (deg): 60.00 60.00 60.00
Fractional positions:
Pa  0.000  0.000  0.000
Cu  0.500  0.500  0.500
Ni  0.750  0.750  0.750
Ru  0.250  0.250  0.250

---

Version ii
This record from the Alexandria database describes an optimized crystal structure of PaCuNiRu. The functional is PBE-GGA.

Results
Crystal system: orthorhombic
Space-group type: Pmmm (47)
V, Å³/cell: 63
DOS(E_F), states/eV/f.u.: 0.7

a b c (Å): 3.727 3.964 4.234
angles (deg): 90.00 90.00 90.00
Fractional positions:
Pa  0.000  0.000  0.000
Cu  0.000  0.500  0.500
Ni  0.500  0.000  0.500
Ru  0.500  0.500  0.000

---

Result of the stability comparison: version ii is the most stable of them.

---

Version i
This record from the Alexandria database describes an optimized crystal structure of Cu6NiPd8. The functional is PBE-GGA.

Results
Crystal system: trigonal
Space-group type: P-3 (147)
V, Å³/cell: 217
DOS(E_F), states/eV/f.u.: 16.6

a b c (Å): 9.507 9.507 2.778
angles (deg): 90.00 90.00 120.00
Fractional positions:
Cu  0.089  0.612  0.254
Cu  0.388  0.477  0.254
Cu  0.477  0.089  0.746
Cu  0.523  0.911  0.254
Cu  0.612  0.523  0.746
Cu  0.911  0.388  0.746
Ni  0.000  0.000  0.500
Pd  0.081  0.295  0.239
Pd  0.214  0.919  0.239
Pd  0.295  0.214  0.761
Pd  0.333  0.667  0.754
Pd  0.667  0.333  0.246
Pd  0.705  0.786  0.239
Pd  0.786  0.081  0.761
Pd  0.919  0.705  0.761

---

Version ii
This record from the Alexandria database describes an optimized crystal structure of Cu6NiPd8. The functional is PBE-GGA.

Results
Crystal system: trigonal
Space-group type: P-31m (162)
V, Å³/cell: 227
DOS(E_F), states/eV/f.u.: 28.9

a b c (Å): 7.153 7.153 5.123
angles (deg): 90.00 90.00 120.00
Fractional positions:
Cu  0.000  0.323  0.354
Cu  0.000  0.677  0.646
Cu  0.323  0.000  0.354
Cu  0.323  0.323  0.646
Cu  0.677  0.000  0.646
Cu  0.677  0.677  0.354
Ni  0.000  0.000  0.500
Pd  0.000  0.336  0.854
Pd  0.000  0.664  0.146
Pd  0.333  0.667  0.500
Pd  0.336  0.000  0.854
Pd  0.336  0.336  0.146
Pd  0.664  0.000  0.146
Pd  0.664  0.664  0.854
Pd  0.667  0.333  0.500

---

Result of the stability comparison: version i is the most stable of them.

---

Version i
This record from the Alexandria database describes an optimized crystal structure of CuNi2Pd. The functional is PBE-GGA.

Results
Crystal system: trigonal
Space-group type: R-3m (166)
V, Å³/cell: 50
DOS(E_F), states/eV/f.u.: 5.7

a b c (Å): 8.503 8.503 8.503
angles (deg): 17.74 17.74 17.74
Fractional positions:
Cu  0.000  0.000  0.000
Ni  0.253  0.253  0.253
Ni  0.747  0.747  0.747
Pd  0.500  0.500  0.500

---

Version ii
This record from the Alexandria database describes an optimized crystal structure of CuNi2Pd. The functional is PBE-GGA.

Results
Crystal system: tetragonal
Space-group type: P4/mmm (123)
V, Å³/cell: 49
DOS(E_F), states/eV/f.u.: 6.2

a b c (Å): 2.640 2.640 7.082
angles (deg): 90.00 90.00 90.00
Fractional positions:
Cu  0.000  0.000  0.000
Ni  0.500  0.500  0.237
Ni  0.500  0.500  0.763
Pd  0.000  0.000  0.500

---

Version iii
This record from the Alexandria database describes an optimized crystal structure of CuNi2Pd. The functional is PBE-GGA.

Results
Crystal system: cubic
Space-group type: Fm-3m (225)
V, Å³/cell: 50
DOS(E_F), states/eV/f.u.: 6.1

a b c (Å): 4.133 4.133 4.133
angles (deg): 60.00 60.00 60.00
Fractional positions:
Cu  0.000  0.000  0.000
Ni  0.250  0.250  0.250
Ni  0.750  0.750  0.750
Pd  0.500  0.500  0.500

---

Result of the stability comparison: version ii is the most stable of them.

---

Version i
This record from the Alexandria database describes an optimized crystal structure of CuNi2Pd. The functional is PBE-GGA.

Results
Crystal system: cubic
Space-group type: F-43m (216)
V, Å³/cell: 50
DOS(E_F), states/eV/f.u.: 5.2

a b c (Å): 4.132 4.132 4.132
angles (deg): 60.00 60.00 60.00
Fractional positions:
Cu  0.000  0.000  0.000
Ni  0.250  0.250  0.250
Ni  0.500  0.500  0.500
Pd  0.750  0.750  0.750

---

Version ii
This record from the Alexandria database describes an optimized crystal structure of CuNi2Pd. The functional is PBE-GGA.

Results
Crystal system: tetragonal
Space-group type: I-42d (122)
V, Å³/cell: 107
DOS(E_F), states/eV/f.u.: 7.3

a b c (Å): 9.023 9.023 9.023
angles (deg): 157.51 157.51 32.01
Fractional positions:
Cu  0.000  0.000  0.000
Cu  0.750  0.250  0.500
Ni  0.116  0.625  0.991
Ni  0.375  0.366  0.491
Ni  0.634  0.125  0.009
Ni  0.875  0.884  0.509
Pd  0.250  0.750  0.500
Pd  0.500  0.500  0.000

---

Result of the stability comparison: version i is the most stable of them.

---

Version i
This record from the Alexandria database describes an optimized crystal structure of CuNi2Pd. The functional is PBE-GGA.

Results
Crystal system: monoclinic
Space-group type: C2/c (15)
V, Å³/cell: 114
DOS(E_F), states/eV/f.u.: 8.7

a b c (Å): 10.115 10.115 2.575
angles (deg): 93.68 93.68 153.29
Fractional positions:
Cu  0.000  0.500  0.000
Cu  0.500  0.000  0.500
Ni  0.177  0.280  0.118
Ni  0.280  0.177  0.618
Ni  0.720  0.823  0.382
Ni  0.823  0.720  0.882
Pd  0.353  0.647  0.750
Pd  0.647  0.353  0.250

---

Version ii
This record from the Alexandria database describes an optimized crystal structure of CuNi2Pd. The functional is PBE-GGA.

Results
Crystal system: tetragonal
Space-group type: P4/mmm (123)
V, Å³/cell: 49
DOS(E_F), states/eV/f.u.: 5.5

a b c (Å): 3.656 3.656 3.699
angles (deg): 90.00 90.00 90.00
Fractional positions:
Cu  0.000  0.000  0.000
Ni  0.000  0.500  0.500
Ni  0.500  0.000  0.500
Pd  0.500  0.500  0.000

---

Result of the stability comparison: version ii is the most stable of them.